Entry from Alexandria via LeMat-Bulk: a PBEsol-optimized structure of Mn3O4F2 (meta-GGA SCAN).

Results
Its total energy is -11.975 eV per atom. The space-group type is P-1, No. 2. As for the crystal system: triclinic.

Cell lengths 5.3910, 5.4194, 6.8675 Å; angles 73.98, 73.63, 75.74 degrees
With the nearest neighbours (Å) after each atom.
Fractional positions:
Mn1 0.5000 0.5000 0.5000  4 O 1.90-1.91, 2 F 2.09
Mn2 0.1894 0.1409 0.3336  5 O 1.89-1.92, 1 F 2.01
Mn3 0.5000 0.5000 0.0000  4 O 1.91-1.92, 2 F 2.05
Mn4 0.1951 0.1542 0.8259  3 O 1.86-1.89, 2 F 1.96-2.07
Mn5 0.8049 0.8458 0.1741  3 O 1.86-1.89, 2 F 1.96-2.07
Mn6 0.8106 0.8591 0.6664  5 O 1.89-1.92, 1 F 2.01
O1 0.7169 0.7472 0.9637  3 Mn 1.88-1.92
O2 0.4125 0.3804 0.2966  3 Mn 1.90-1.92
O3 0.0722 0.0648 0.6271  3 Mn 1.89-1.92
O4 0.9278 0.9352 0.3729  3 Mn 1.89-1.92
O5 0.5875 0.6196 0.7034  3 Mn 1.90-1.92
O6 0.2831 0.2528 0.0363  3 Mn 1.88-1.92
O7 0.4651 0.8481 0.3364  3 Mn 1.86-1.91
O8 0.5349 0.1519 0.6636  3 Mn 1.86-1.91
F1 0.8903 0.4468 0.3319  3 Mn 2.01-2.14
F2 0.1718 0.7878 0.0174  3 Mn 1.96-2.07
F3 0.8282 0.2122 0.9826  3 Mn 1.96-2.07
F4 0.1097 0.5532 0.6681  3 Mn 2.01-2.14

=====

Entry from Alexandria via LeMat-Bulk: a PBEsol-optimized structure of Mn3OF5 (meta-GGA SCAN).

Results
Its total energy is -11.460 eV per atom. The space-group type is P2/m, No. 10. As for the crystal system: monoclinic.

Cell lengths 3.1660, 4.8157, 14.3912 Å; angles 92.65, 90.00, 90.00 degrees
With the nearest neighbours (Å) after each atom.
Fractional positions:
Mn1 0.0000 0.0000 0.0000  6 F 2.09
Mn2 0.0000 0.0178 0.6731  1 O 1.89, 3 F 2.06-2.07
Mn3 0.0000 0.9822 0.3269  1 O 1.89, 3 F 2.06-2.07
Mn4 0.5000 0.4736 0.8239  2 O 1.94, 4 F 2.12-2.14
Mn5 0.5000 0.5000 0.5000  6 F 2.08-2.10
Mn6 0.5000 0.5264 0.1761  2 O 1.94, 4 F 2.12-2.14
O1 0.0000 0.6945 0.2330  3 Mn 1.89-1.94
O2 0.0000 0.3055 0.7670  3 Mn 1.89-1.94
F1 0.5000 0.8093 0.7311  3 Mn 2.07-2.14
F2 0.5000 0.8061 0.4023  3 Mn 2.08-2.12
F3 0.5000 0.7955 0.0619  3 Mn 2.09-2.14
F4 0.0000 0.6898 0.8935  3 Mn 2.09-2.12
F5 0.0000 0.7069 0.5701  3 Mn 2.06-2.10
F6 0.0000 0.2931 0.4299  3 Mn 2.06-2.10
F7 0.0000 0.3102 0.1065  3 Mn 2.09-2.12
F8 0.5000 0.2045 0.9381  3 Mn 2.09-2.14
F9 0.5000 0.1939 0.5977  3 Mn 2.08-2.12
F10 0.5000 0.1907 0.2689  3 Mn 2.07-2.14

=====

Entry from Alexandria via LeMat-Bulk: a PBEsol-optimized structure of Mn3OF5 (meta-GGA SCAN).

Results
Its total energy is -11.478 eV per atom. The space-group type is C2/m, No. 12. As for the crystal system: monoclinic.

Cell lengths 5.7778, 5.7778, 7.3322 Å; angles 73.61, 73.61, 74.42 degrees
With the nearest neighbours (Å) after each atom.
Fractional positions:
Mn1 0.5000 0.5000 0.0000  6 F 2.09-2.11
Mn2 0.8518 0.8518 0.1557  2 O 1.89-1.91, 2 F 2.01-2.03
Mn3 0.5000 0.5000 0.5000  6 F 2.08-2.20
Mn4 0.8410 0.8410 0.6789  1 O 1.94, 5 F 2.08-2.12
Mn5 0.1590 0.1590 0.3211  1 O 1.94, 5 F 2.08-2.12
Mn6 0.1482 0.1482 0.8443  2 O 1.89-1.91, 2 F 2.01-2.03
O1 0.9348 0.9348 0.8779  3 Mn 1.89-1.94
O2 0.0652 0.0652 0.1221  3 Mn 1.89-1.94
F1 0.1465 0.5273 0.1805  3 Mn 2.08-2.17
F2 0.7970 0.2030 0.5000  3 Mn 2.08-2.12
F3 0.2504 0.2504 0.5492  3 Mn 2.03-2.20
F4 0.6248 0.6248 0.1924  3 Mn 2.01-2.14
F5 0.3752 0.3752 0.8076  3 Mn 2.01-2.14
F6 0.7496 0.7496 0.4508  3 Mn 2.03-2.20
F7 0.2030 0.7970 0.5000  3 Mn 2.08-2.12
F8 0.5273 0.1465 0.1805  3 Mn 2.08-2.17
F9 0.8535 0.4727 0.8195  3 Mn 2.08-2.17
F10 0.4727 0.8535 0.8195  3 Mn 2.08-2.17

=====

Entry from Alexandria via LeMat-Bulk: a PBEsol-optimized structure of Mn2OF3 (meta-GGA SCAN).

Results
Its total energy is -11.545 eV per atom. The space-group type is C2/m, No. 12. As for the crystal system: monoclinic.

Cell lengths 5.6634, 5.6634, 9.2917 Å; angles 86.80, 86.80, 71.66 degrees
With the nearest neighbours (Å) after each atom.
Fractional positions:
Mn1 0.3526 0.3526 0.1158  1 O 1.93, 5 F 2.08-2.14
Mn2 0.1120 0.1120 0.3927  2 O 1.89, 3 F 2.00-2.11
Mn3 0.7414 0.7414 0.2325  1 O 1.95, 5 F 2.08-2.13
Mn4 0.5000 0.5000 0.5000  2 O 2.03, 4 F 2.03-2.17
Mn5 0.2586 0.2586 0.7675  1 O 1.95, 5 F 2.08-2.13
Mn6 0.8880 0.8880 0.6073  2 O 1.89, 3 F 2.00-2.11
Mn7 0.6474 0.6474 0.8842  1 O 1.93, 5 F 2.08-2.14
Mn8 0.0000 0.0000 0.0000  2 O 1.90, 4 F 2.04-2.05
O1 0.8063 0.1937 0.5000  3 Mn 1.89-2.03
O2 0.7926 0.7926 0.0255  3 Mn 1.90-1.95
O3 0.2074 0.2074 0.9745  3 Mn 1.90-1.95
O4 0.1937 0.8063 0.5000  3 Mn 1.89-2.03
F1 0.4223 0.0420 0.2673  3 Mn 2.00-2.14
F2 0.0420 0.4223 0.2673  3 Mn 2.00-2.14
F3 0.2800 0.2800 0.5432  3 Mn 2.03-2.15
F4 0.5107 0.5107 0.2664  3 Mn 2.08-2.17
F5 0.0261 0.0261 0.7791  3 Mn 2.05-2.13
F6 0.9739 0.9739 0.2209  3 Mn 2.05-2.13
F7 0.4893 0.4893 0.7336  3 Mn 2.08-2.17
F8 0.7200 0.7200 0.4568  3 Mn 2.03-2.15
F9 0.6929 0.3071 0.0000  3 Mn 2.04-2.10
F10 0.9580 0.5777 0.7327  3 Mn 2.00-2.14
F11 0.3071 0.6929 0.0000  3 Mn 2.04-2.10
F12 0.5777 0.9580 0.7327  3 Mn 2.00-2.14

=====

Entry from Alexandria via LeMat-Bulk: a PBEsol-optimized structure of Mn2O3F (meta-GGA SCAN).

Results
Its total energy is -12.030 eV per atom. The space-group type is Cmmm, No. 65. As for the crystal system: orthorhombic.

Cell lengths 5.8642, 6.2147, 7.1551 Å; angles 90.00, 114.19, 90.00 degrees
With the nearest neighbours (Å) after each atom.
Fractional positions:
Mn1 0.7621 0.0000 0.0000  4 O 1.87-1.89, 2 F 2.00
Mn2 0.2379 0.0000 0.0000  4 O 1.87-1.89, 2 F 2.00
Mn3 0.7592 0.0000 0.5184  5 O 1.90, 1 F 2.11
Mn4 0.5000 0.5000 0.0000  6 O 1.91-2.02
Mn5 0.2408 0.0000 0.4816  5 O 1.90, 1 F 2.11
Mn6 0.0000 0.5000 0.0000  2 F 1.89, 4 O 1.90
Mn7 0.0000 0.5000 0.5000  4 O 1.90-1.92, 2 F 2.01
Mn8 0.5000 0.5000 0.5000  4 O 1.90-1.92, 2 F 2.01
O1 0.9045 0.0000 0.8090  3 Mn 1.87-1.90
O2 0.7514 0.6957 0.0000  3 Mn 1.89-1.91
O3 0.2486 0.6957 0.0000  3 Mn 1.89-1.91
O4 0.5000 0.8064 0.5000  3 Mn 1.90
O5 0.7514 0.3043 0.0000  3 Mn 1.89-1.91
O6 0.2486 0.3043 0.0000  3 Mn 1.89-1.91
O7 0.0000 0.8064 0.5000  3 Mn 1.90
O8 0.0955 0.0000 0.1910  3 Mn 1.87-1.90
O9 0.3451 0.5000 0.6901  3 Mn 1.92-2.02
O10 0.6549 0.5000 0.3099  3 Mn 1.92-2.02
O11 0.5000 0.1936 0.5000  3 Mn 1.90
O12 0.0000 0.1936 0.5000  3 Mn 1.90
F1 0.4025 0.0000 0.8049  3 Mn 2.00-2.11
F2 0.8554 0.5000 0.7108  3 Mn 1.89-2.01
F3 0.5975 0.0000 0.1951  3 Mn 2.00-2.11
F4 0.1446 0.5000 0.2892  3 Mn 1.89-2.01

=====

Entry from Alexandria via LeMat-Bulk: a PBEsol-optimized structure of Mn2OF3 (meta-GGA SCAN).

Results
Its total energy is -11.559 eV per atom. The space-group type is Imma, No. 74. As for the crystal system: orthorhombic.

Cell lengths 5.6760, 5.6760, 5.6760 Å; angles 105.76, 109.65, 113.08 degrees
With the nearest neighbours (Å) after each atom.
Fractional positions:
Mn1 0.5000 0.0000 0.0000  2 O 1.92, 2 F 2.04
Mn2 0.0000 0.5000 0.0000  2 O 1.92, 2 F 2.04
Mn3 0.2884 0.2500 0.5384  1 O 1.91, 5 F 2.05-2.10
Mn4 0.7116 0.7500 0.4616  1 O 1.91, 5 F 2.05-2.10
O1 0.4188 0.7500 0.1688  3 Mn 1.91-1.92
O2 0.5812 0.2500 0.8312  3 Mn 1.91-1.92
F1 0.0000 0.7983 0.2983  3 Mn 2.04-2.10
F2 0.5000 0.2983 0.2983  3 Mn 2.04-2.10
F3 0.9750 0.2500 0.2250  3 Mn 2.05-2.15
F4 0.0250 0.7500 0.7750  3 Mn 2.05-2.15
F5 0.5000 0.7017 0.7017  3 Mn 2.04-2.10
F6 0.0000 0.2017 0.7017  3 Mn 2.04-2.10

=====

Entry from Alexandria via LeMat-Bulk: a PBEsol-optimized structure of Mn6OF11 (meta-GGA SCAN).

Results
Its total energy is -11.388 eV per atom. The space-group type is Cm, No. 8. As for the crystal system: monoclinic.

Cell lengths 5.8006, 5.8006, 7.4571 Å; angles 73.97, 73.97, 72.52 degrees
With the nearest neighbours (Å) after each atom.
Fractional positions:
Mn1 0.6692 0.6692 0.8326  6 F 2.03-2.13
Mn2 0.3375 0.3375 0.6503  1 O 1.93, 5 F 2.07-2.15
Mn3 0.6461 0.6461 0.3241  1 O 1.97, 5 F 2.11-2.15
Mn4 0.3399 0.3399 0.1783  1 O 1.89, 5 F 2.10-2.11
Mn5 0.9973 0.9973 0.4981  6 F 2.08-2.12
Mn6 0.0079 0.0079 0.0107  6 F 2.09-2.16
O1 0.4246 0.4246 0.3754  3 Mn 1.89-1.97
F1 0.6356 0.0338 0.6702  3 Mn 2.07-2.12
F2 0.9687 0.3562 0.3207  3 Mn 2.11-2.12
F3 0.8802 0.8802 0.3064  3 Mn 2.08-2.15
F4 0.5682 0.5682 0.6308  3 Mn 2.03-2.15
F5 0.2498 0.2498 0.9567  3 Mn 2.10-2.16
F6 0.0996 0.0996 0.7078  3 Mn 2.09-2.12
F7 0.7765 0.7765 0.0300  3 Mn 2.05-2.12
F8 0.3562 0.9687 0.3207  3 Mn 2.11-2.12
F9 0.0338 0.6356 0.6702  3 Mn 2.07-2.12
F10 0.7002 0.3086 0.0085  3 Mn 2.09-2.13
F11 0.3086 0.7002 0.0085  3 Mn 2.09-2.13

=====

Entry from Alexandria via LeMat-Bulk: a PBEsol-optimized structure of Mn2O3F (meta-GGA SCAN).

Results
Its total energy is -12.064 eV per atom. The space-group type is Imma, No. 74. As for the crystal system: orthorhombic.

Cell lengths 5.3604, 5.3604, 5.3604 Å; angles 74.43, 70.66, 113.60 degrees
With the nearest neighbours (Å) after each atom.
Fractional positions:
Mn1 0.2500 0.7229 0.0271  5 O 1.86-1.90, 1 F 1.99
Mn2 0.7500 0.2771 0.9729  5 O 1.86-1.90, 1 F 1.99
Mn3 0.5000 0.5000 0.5000  4 O 1.90, 2 F 2.04
Mn4 0.0000 0.0000 0.5000  4 O 1.90, 2 F 2.04
O1 0.2500 0.4358 0.3142  3 Mn 1.86-1.90
O2 0.8062 0.5000 0.1938  3 Mn 1.90
O3 0.3062 0.0000 0.1938  3 Mn 1.90
O4 0.6938 0.0000 0.8062  3 Mn 1.90
O5 0.1938 0.5000 0.8062  3 Mn 1.90
O6 0.7500 0.5642 0.6858  3 Mn 1.86-1.90
F1 0.7500 0.9696 0.2804  3 Mn 1.99-2.04
F2 0.2500 0.0304 0.7196  3 Mn 1.99-2.04

=====

Sequential E above lowest polymorph output: 0.000; 0.018; 0.000; 0.014; 0.034; 0.000; 0.003; 0.000 eV/atom